Material: Ba2NaZnO
Method: DFT, PBE
State: optimized geometry

The formation energy from raw total energies is -918 meV/atom.

The structure belongs to space group P4/mmm (No. 123); the cell edges are 5.535, 5.535 and 4.771 Å and the angles 90.00°, 90.00° and 90.00°. Symmetry generates all atoms from Ba at (0.000, 0.500, 0.000), Na at (0.000, 0.000, 0.500), Zn at (0.500, 0.500, 0.500) and O at (0.000, 0.000, 0.000).